# HfMgZr3

A relaxed structure of HfMgZr3 (PBE, Alexandria via LeMat-Bulk).

Structure (POSCAR):
```
HfMgZr3
1.0
5.2007 0.0000 0.0000
0.0000 5.2007 0.0000
0.0000 0.0000 5.2007
Mg Hf Zr
1 1 3
Cartesian
2.6003 2.6003 2.6003 Mg
0.0000 0.0000 0.0000 Hf
0.0000 2.6003 0.0000 Zr
0.0000 0.0000 2.6003 Zr
2.6003 0.0000 0.0000 Zr
```

Output
Calculated formation energy, meV per atom: 975.9
Relative energy among the computed polymorphs, kcal/mol of atoms: 19.82

---

# PuSiSe3

A relaxed structure of PuSiSe3 (PBE, Alexandria via LeMat-Bulk).

Structure (POSCAR):
```
PuSiSe3
1.0
6.6829 0.0000 0.0000
0.0000 7.9628 0.0000
0.0000 0.0000 9.0787
Pu Si Se
4 4 12
Cartesian
0.2256 0.8964 6.5640 Pu
3.1158 4.8778 6.5640 Pu
3.5671 3.0850 2.0247 Pu
6.4573 7.0665 2.0247 Pu
3.1653 7.3831 9.0289 Si
3.5176 0.5797 4.4896 Si
0.1761 3.4017 9.0289 Si
6.5068 4.5611 4.4896 Si
5.5966 1.3929 3.8341 Se
5.5774 1.4569 0.2884 Se
1.0863 6.5700 8.3734 Se
1.1055 6.5059 4.8277 Se
2.2360 2.5245 4.8277 Se
4.1343 7.6859 6.7117 Se
4.4469 5.4383 0.2884 Se
5.8900 3.7044 6.7117 Se
4.4278 5.3743 3.8341 Se
2.2551 2.5885 8.3734 Se
0.7929 4.2584 2.1723 Se
2.5486 0.2770 2.1723 Se
```

Output
Energy relative to the elements, uncorrected, eV per formula unit: -3.7
Relative energy among the computed polymorphs, kcal/mol of atoms: 3.34

---

# YErCdPd

A relaxed structure of YErCdPd (PBE, Alexandria via LeMat-Bulk).

Structure (POSCAR):
```
YErCdPd
1.0
5.1090 0.0000 0.0000
2.5545 4.4245 0.0000
2.5545 1.4748 4.1715
Y Cd Pd Er
1 1 1 1
Cartesian
7.6635 4.4245 3.1286 Y
0.0000 0.0000 0.0000 Cd
5.1090 2.9497 2.0857 Pd
2.5545 1.4748 1.0429 Er
```

Output
Calculated formation energy, meV per atom: -562.8
Relative energy among the computed polymorphs, kcal/mol of atoms: 1.24

---

# LiSmErS3

A relaxed structure of LiSmErS3 (PBE, Alexandria via LeMat-Bulk).

Structure (POSCAR):
```
LiSmErS3
1.0
3.8244 0.0000 0.0000
0.0000 8.0362 0.1387
0.0000 -1.9772 8.1400
Li Sm Er S
2 2 2 6
Cartesian
0.9561 -0.4536 4.7665 Li
2.8683 6.5125 3.5123 Li
0.9561 1.0747 1.8334 Sm
2.8683 4.9842 6.4453 Sm
0.9561 5.0066 1.4395 Er
2.8683 1.0524 6.8393 Er
2.8683 6.9903 1.2022 S
0.9561 -0.9313 7.0765 S
0.9561 5.2978 4.1948 S
2.8683 0.7611 4.0840 S
2.8683 3.1130 1.4479 S
0.9561 2.9460 6.8309 S
```

Output
Energy relative to the elements, uncorrected, eV per formula unit: -10.9

---

# PrEuSbAu

A relaxed structure of PrEuSbAu (PBE, Alexandria via LeMat-Bulk).

Structure (POSCAR):
```
PrEuSbAu
1.0
-1.6693 4.4075 2.6829
-4.8261 2.1987 -1.1337
-4.0593 -0.3779 3.5763
Eu Pr Au Sb
1 1 1 1
Cartesian
-2.6387 1.5571 1.2814 Eu
-7.9160 4.6712 3.8441 Pr
-5.2773 3.1141 2.5627 Au
0.0000 0.0000 0.0000 Sb
```

Output
Energy relative to the elements, uncorrected, eV per formula unit: -3.4

---

# Er2Be3GePt4

A relaxed structure of Er2Be3GePt4 (PBE, Alexandria via LeMat-Bulk).

Structure (POSCAR):
```
Er2Be3GePt4
1.0
-2.1955 -1.2849 -3.1746
3.3053 -1.7823 -1.5645
-2.1262 -8.1179 4.7562
Er Be Ge Pt
2 3 1 4
Cartesian
-1.6176 -2.6274 -0.4243 Er
0.0463 -7.0241 2.8110 Er
-1.0631 -4.0590 2.3781 Be
-2.9696 -7.7894 2.6000 Be
1.3983 -1.8622 -0.2133 Be
-0.5082 -5.5926 0.0085 Ge
0.5549 -1.5336 -2.3695 Pt
0.0000 0.0000 0.0000 Pt
-2.4685 -5.8761 1.4790 Pt
0.8972 -3.7755 0.9076 Pt
```

Output
Calculated formation energy, meV per atom: -923.0

---

# Mn3PdPb

A relaxed structure of Mn3PdPb (PBE, Alexandria via LeMat-Bulk).

Structure (POSCAR):
```
Mn3PdPb
1.0
4.8664 0.0000 0.0000
0.0000 4.8664 0.0000
0.0000 0.0000 4.8664
Pb Mn Pd
1 3 1
Cartesian
2.4332 2.4332 2.4332 Pb
0.0000 2.4332 0.0000 Mn
0.0000 0.0000 2.4332 Mn
2.4332 0.0000 0.0000 Mn
0.0000 0.0000 0.0000 Pd
```

Output
Calculated formation energy, meV per atom: 687.2
Relative energy among the computed polymorphs, kcal/mol of atoms: 0.00

---

# Cs2HfTe4

A relaxed structure of Cs2HfTe4 (PBE, Alexandria via LeMat-Bulk).

Structure (POSCAR):
```
Cs2HfTe4
1.0
4.2391 0.0000 0.0000
0.0000 8.4824 0.4089
0.0000 -3.3817 8.4267
Cs Hf Te
2 1 4
Cartesian
2.1195 0.6451 6.4904 Cs
2.1195 5.1855 3.6067 Cs
0.0000 0.3625 0.6304 Hf
2.1195 5.5177 7.4824 Te
0.0000 3.1900 1.3973 Te
2.1195 0.3129 2.6150 Te
0.0000 2.6364 8.7040 Te
```

Output
Energy relative to the elements, uncorrected, eV per formula unit: -5.1
Relative energy among the computed polymorphs, kcal/mol of atoms: 0.34

---

# Hf2MnPd6

A relaxed structure of Hf2MnPd6 (PBE, Alexandria via LeMat-Bulk).

Structure (POSCAR):
```
Hf2MnPd6
1.0
3.0241 0.0000 -0.4456
0.0000 7.2049 0.0000
-2.0175 -3.6024 7.3723
Hf Mn Pd
2 1 6
Cartesian
1.8912 3.6025 2.4173 Hf
-0.8846 0.0000 4.5094 Hf
0.0000 0.0000 0.0000 Mn
0.3152 1.3842 2.1848 Pd
0.6914 -2.2183 4.7418 Pd
0.6914 2.2183 4.7418 Pd
1.5120 2.2360 -0.2228 Pd
0.3152 5.8207 2.1848 Pd
1.5120 4.9689 -0.2228 Pd
```

Output
Calculated formation energy, meV per atom: -437.0

---

# Ac2SmHoTe6

A relaxed structure of Ac2SmHoTe6 (PBE, Alexandria via LeMat-Bulk).

Structure (POSCAR):
```
Ac2SmHoTe6
1.0
8.1244 -0.0007 -0.0007
4.0616 7.0364 -0.0002
4.0609 2.3457 7.0918
Ac Sm Ho Te
2 1 1 6
Cartesian
8.1234 4.6911 3.0755 Ac
4.0613 2.3455 6.6349 Ac
12.1847 7.0365 3.8108 Sm
4.0621 2.3444 0.2478 Ho
6.6454 1.9857 1.8437 Te
6.5200 7.3238 1.8442 Te
11.2061 4.7616 1.8439 Te
9.5493 6.6530 5.4208 Te
9.1097 2.4740 5.4201 Te
5.7100 4.9463 5.4211 Te
```

Output
Energy relative to the elements, uncorrected, eV per formula unit: -14.4

---

# ScCr2Te

A relaxed structure of ScCr2Te (PBE, Alexandria via LeMat-Bulk).

Structure (POSCAR):
```
ScCr2Te
1.0
-4.4616 1.7169 -0.5307
-4.4369 -1.5081 -1.0839
-1.9386 -0.7821 4.4733
Cr Sc Te
2 1 1
Cartesian
-1.9635 -0.7671 4.3843 Cr
-5.3937 -0.3018 1.5183 Cr
-2.7093 -0.1433 0.7146 Sc
-8.1278 -0.4300 2.1439 Te
```

Output
Energy relative to the elements, uncorrected, eV per formula unit: 1.2

---

# Rb2ErBr5

A relaxed structure of Rb2ErBr5 (PBE, Alexandria via LeMat-Bulk).

Structure (POSCAR):
```
Rb2ErBr5
1.0
5.6932 0.0000 0.0000
-2.8466 8.7801 0.0000
0.0000 0.0000 15.4747
Rb Er Br
4 2 10
Cartesian
2.8466 6.2765 6.7442 Rb
2.8466 6.2765 0.9931 Rb
0.0000 2.5036 8.7304 Rb
0.0000 2.5036 14.4815 Rb
2.8466 6.0819 11.6060 Er
0.0000 2.6982 3.8687 Er
2.8466 8.0113 13.5346 Br
2.8466 8.0113 9.6774 Br
0.0000 4.6623 5.8881 Br
0.0000 4.6623 1.8493 Br
2.8466 2.9645 3.8687 Br
0.0000 5.8156 11.6060 Br
2.8466 4.1178 9.5866 Br
2.8466 4.1178 13.6254 Br
0.0000 0.7688 1.9401 Br
0.0000 0.7688 5.7972 Br
```

Output
Energy relative to the elements, uncorrected, eV per formula unit: -14.4
Relative energy among the computed polymorphs, kcal/mol of atoms: 0.52

---

# DyHoCuAu

A relaxed structure of DyHoCuAu (PBE, Alexandria via LeMat-Bulk).

Structure (POSCAR):
```
DyHoCuAu
1.0
-3.0102 3.9728 -0.4110
-2.1729 1.0485 -4.3810
-4.9275 -0.6439 -0.5649
Au Ho Cu Dy
1 1 1 1
Cartesian
-7.5830 3.2831 -4.0176 Au
0.0000 0.0000 0.0000 Ho
-2.5277 1.0944 -1.3392 Cu
-5.0553 2.1887 -2.6784 Dy
```

Output
Calculated formation energy, meV per atom: -555.2

---

# KGa2Ir2

A relaxed structure of KGa2Ir2 (PBE, Alexandria via LeMat-Bulk).

Structure (POSCAR):
```
KGa2Ir2
1.0
-0.1729 3.8166 2.1487
1.4991 -1.9689 3.6179
5.5152 1.9585 1.4359
K Ir Ga
1 2 2
Cartesian
0.0000 0.0000 0.0000 K
1.8392 1.1746 2.5325 Ir
5.0022 2.6315 4.6701 Ir
3.0027 3.3494 3.2340 Ga
3.8387 0.4567 3.9686 Ga
```

Output
Calculated formation energy, meV per atom: -109.3
Relative energy among the computed polymorphs, kcal/mol of atoms: 0.67

---

# Pu3Hg4Pd4

A relaxed structure of Pu3Hg4Pd4 (PBE, Alexandria via LeMat-Bulk).

Structure (POSCAR):
```
Pu3Hg4Pd4
1.0
-1.9817 -3.1258 1.6036
-1.4470 -2.9016 -7.4442
8.2025 -0.9532 3.2054
Pu Hg Pd
3 4 4
Cartesian
1.5228 -0.9311 0.0669 Pu
3.2510 -6.0496 -2.7021 Pu
-0.7235 -1.4508 -3.7221 Pu
4.6168 -2.1000 1.6118 Hg
0.7094 -3.7728 -1.4048 Hg
0.1570 -4.8807 -4.2471 Hg
4.0644 -3.2079 -1.2304 Hg
2.4056 -3.3640 -3.5846 Pd
2.3681 -3.6167 0.9494 Pd
-2.1796 -3.9467 -5.3139 Pd
-1.2491 -2.0807 -0.5267 Pd
```

Output
Calculated formation energy, meV per atom: -294.2

---

# TbCeGdMg

A relaxed structure of TbCeGdMg (PBE, Alexandria via LeMat-Bulk).

Structure (POSCAR):
```
TbCeGdMg
1.0
5.5189 0.0000 0.0000
2.7594 4.7795 0.0000
2.7594 1.5932 4.5062
Mg Gd Tb Ce
1 1 1 1
Cartesian
5.5189 3.1863 2.2531 Mg
2.7594 1.5932 1.1265 Gd
8.2783 4.7795 3.3796 Tb
0.0000 0.0000 0.0000 Ce
```

Output
Calculated formation energy, meV per atom: 137.8

---

# Pr2ZnSn4Pt3

A relaxed structure of Pr2ZnSn4Pt3 (PBE, Alexandria via LeMat-Bulk).

Structure (POSCAR):
```
Pr2ZnSn4Pt3
1.0
-1.0011 -4.3616 0.4707
0.5667 0.3502 4.4502
-10.9129 2.6324 1.1824
Pr Zn Sn Pt
2 1 4 3
Cartesian
-3.3320 -1.4978 0.5421 Pr
-7.7981 2.1245 3.1007 Pr
-5.6737 -0.6895 3.0516 Zn
-0.2172 -2.0057 2.4604 Sn
0.0000 0.0000 0.0000 Sn
-7.4254 -0.5104 0.9857 Sn
-3.7048 1.1371 2.6572 Sn
-5.4565 1.3162 0.5912 Pt
-9.9593 0.1008 1.2602 Pt
-1.1709 0.5259 2.3827 Pt
```

Output
Calculated formation energy, meV per atom: -766.1

---

# Cr3Co

A relaxed structure of Cr3Co (PBE, Alexandria via LeMat-Bulk).

Structure (POSCAR):
```
Cr3Co
1.0
4.7349 0.0000 -0.0001
-2.1611 4.2129 -0.0001
-2.1611 -3.5374 2.2881
Co Cr
1 3
Cartesian
0.0000 0.0000 0.0000 Co
-2.1611 0.3378 1.1440 Cr
1.2869 -1.7687 1.1440 Cr
1.2869 2.1065 -0.0001 Cr
```

Output
Calculated formation energy, meV per atom: 103.3

---

# Tb2SnH3

A relaxed structure of Tb2SnH3 (PBE, Alexandria via LeMat-Bulk).

Structure (POSCAR):
```
Tb2SnH3
1.0
-3.2437 0.8764 -1.5070
-1.6310 -5.5817 4.7639
0.1752 6.7352 3.5399
Tb Sn H
4 2 6
Cartesian
-2.9351 0.0608 6.3531 Tb
-1.7644 1.9691 0.4438 Tb
-3.5468 -0.4378 2.8806 Tb
-1.1527 2.4677 3.9163 Tb
-3.8084 3.2202 5.5709 Sn
-0.8912 -1.1903 1.2260 Sn
-1.9179 0.3918 4.3562 H
-4.3455 -0.0742 4.8113 H
-2.1067 3.6217 2.1416 H
-2.5928 -1.5917 4.6553 H
-0.3540 2.1041 1.9856 H
-2.7816 1.6382 2.4408 H
```

Output
DFT total energy, eV/atom: -4.543

---

# Na4Pu3O8

A relaxed structure of Na4Pu3O8 (PBE, Alexandria via LeMat-Bulk).

Structure (POSCAR):
```
Na4Pu3O8
1.0
6.0686 0.0000 3.2729
2.1517 5.6743 3.2729
0.0892 0.0616 7.0971
Na Pu O
4 3 8
Cartesian
0.0000 0.0000 0.0000 Na
3.0108 2.0783 8.9426 Na
4.1547 2.8679 6.8215 Na
5.2987 3.6576 4.7004 Na
3.0789 0.0308 5.1850 Pu
0.0446 0.0308 3.5486 Pu
1.1205 2.8679 5.1850 Pu
1.9144 1.3215 3.7129 O
2.8675 4.2426 5.2846 O
6.1461 4.2426 7.0528 O
4.9836 1.1769 5.2846 O
6.3951 4.4144 9.9301 O
5.4420 1.4933 8.3584 O
2.1634 1.4933 6.5902 O
3.3259 4.5590 8.3584 O
```

Output
Energy relative to the elements, uncorrected, eV per formula unit: -36.4